Record 1
Material: InSbTe2As
Method: DFT, PBE-GGA
State: optimized geometry

The structure in POSCAR format:
```
InSbTe2As
1.0
5.590 0.000 0.000
0.000 5.590 0.000
0.000 0.000 5.646
In Sb Te As
1 1 2 1
Cartesian
0.000 0.000 0.000
0.000 0.000 2.823
0.000 2.795 0.000
2.795 0.000 0.000
2.795 2.795 2.823
```

Properties
Formation energy (no corrections) in meV/atom: 881.4
ρ in g/cm3: 5.334
Space-group type: P4/mmm
Energy above the most stable polymorph in this dataset in kJ/mol of atoms: 50.33

---

Record 2
Material: InSbTe2As
Method: DFT, PBE-GGA
State: optimized geometry

The structure in POSCAR format:
```
InSbTe2As
1.0
5.624 0.000 0.000
0.000 5.624 0.000
0.000 0.000 5.299
In Sb Te As
1 1 2 1
Cartesian
0.000 0.000 0.000
2.812 2.812 0.000
0.000 2.812 2.650
2.812 0.000 2.650
2.812 2.812 2.650
```

Properties
Formation energy (no corrections) in meV/atom: 359.8
ρ in g/cm3: 5.615
Space-group type: P4/mmm
Energy above the most stable polymorph in this dataset in kJ/mol of atoms: 0.00